No. 1
The following is a DFT calculation (PBE) of a relaxed structure of BaGe3Rh3.

Properties
Raw total energy: -244.32 eV per cell
Formation enthalpy at 0 K: -0.41 eV per atom
Energy relative to the lowest polymorph listed for this composition: 43 meV/atom

```
data_BaGe3Rh3
_chemical_formula_sum 'Ba6 Ge18 Rh18'
_symmetry_space_group_name_H-M 'R -3'
_symmetry_Int_Tables_number 148
_symmetry_space_group_name_Hall '-R 3'
_cell_length_a 6.7898
_cell_length_b 6.7898
_cell_length_c 23.6137
_cell_angle_alpha 90.00
_cell_angle_beta 90.00
_cell_angle_gamma 120.00
loop_
_atom_site_label
_atom_site_type_symbol
_atom_site_fract_x
_atom_site_fract_y
_atom_site_fract_z
Ba1 Ba 0.0000 0.0000 0.1714
Ge1 Ge 0.0379 0.6260 0.2674
Rh1 Rh 0.0235 0.7415 0.7057
```

No. 2
The following is a DFT calculation (PBE) of a relaxed structure of BaGe3Rh3.

Properties
Raw total energy: -82.04 eV per cell
Formation enthalpy at 0 K: -0.46 eV per atom
Energy relative to the lowest polymorph listed for this composition: 0 meV/atom

```
data_BaGe3Rh3
_chemical_formula_sum 'Ba2 Ge6 Rh6'
_symmetry_space_group_name_H-M 'P m -3 n'
_symmetry_Int_Tables_number 223
_symmetry_space_group_name_Hall '-P 4n 2 3'
_cell_length_a 6.8191
_cell_length_b 6.8191
_cell_length_c 6.8191
_cell_angle_alpha 90.00
_cell_angle_beta 90.00
_cell_angle_gamma 90.00
loop_
_atom_site_label
_atom_site_type_symbol
_atom_site_fract_x
_atom_site_fract_y
_atom_site_fract_z
Ba1 Ba 0.0000 0.0000 0.0000
Ge1 Ge 0.0000 0.2500 0.5000
Rh1 Rh 0.0000 0.5000 0.2500
```

No. 3
The following is a DFT calculation (PBE) of a relaxed structure of Ba2Ge4Rh5.

Properties
Raw total energy: -265.67 eV per cell
Formation enthalpy at 0 K: -0.67 eV per atom

```
data_Ba2Ge4Rh5
_chemical_formula_sum 'Ba8 Ge16 Rh20'
_symmetry_space_group_name_H-M 'F m m m'
_symmetry_Int_Tables_number 69
_symmetry_space_group_name_Hall '-F 2 2'
_cell_length_a 5.9144
_cell_length_b 10.5169
_cell_length_c 14.3830
_cell_angle_alpha 90.00
_cell_angle_beta 90.00
_cell_angle_gamma 90.00
loop_
_atom_site_label
_atom_site_type_symbol
_atom_site_fract_x
_atom_site_fract_y
_atom_site_fract_z
Ba1 Ba 0.0000 0.0000 0.1311
Ge1 Ge 0.0000 0.1642 0.3726
Rh1 Rh 0.0000 0.0000 0.5000
Rh2 Rh 0.2500 0.2500 0.0000
Rh3 Rh 0.2500 0.2500 0.2500
```

No. 4
The following is a DFT calculation (PBE) of a relaxed structure of BaGe3Rh.

Properties
Raw total energy: -23.76 eV per cell
Formation enthalpy at 0 K: -0.13 eV per atom

```
data_BaGe3Rh
_chemical_formula_sum 'Ba1 Ge3 Rh1'
_symmetry_space_group_name_H-M 'P m -3 m'
_symmetry_Int_Tables_number 221
_symmetry_space_group_name_Hall '-P 4 2 3'
_cell_length_a 4.9693
_cell_length_b 4.9693
_cell_length_c 4.9693
_cell_angle_alpha 90.00
_cell_angle_beta 90.00
_cell_angle_gamma 90.00
loop_
_atom_site_label
_atom_site_type_symbol
_atom_site_fract_x
_atom_site_fract_y
_atom_site_fract_z
Ba1 Ba 0.0000 0.0000 0.0000
Ge1 Ge 0.0000 0.5000 0.5000
Rh1 Rh 0.5000 0.5000 0.5000
```

No. 5
The following is a DFT calculation (PBE) of a relaxed structure of Ba3Ge16Rh4.

Properties
Raw total energy: -237.14 eV per cell
Formation enthalpy at 0 K: -0.41 eV per atom

```
data_Ba3Ge16Rh4
_chemical_formula_sum 'Ba6 Ge32 Rh8'
_symmetry_space_group_name_H-M 'I 4/m m m'
_symmetry_Int_Tables_number 139
_symmetry_space_group_name_Hall '-I 4 2'
_cell_length_a 6.6128
_cell_length_b 6.6128
_cell_length_c 22.5065
_cell_angle_alpha 90.00
_cell_angle_beta 90.00
_cell_angle_gamma 90.00
loop_
_atom_site_label
_atom_site_type_symbol
_atom_site_fract_x
_atom_site_fract_y
_atom_site_fract_z
Ba1 Ba 0.0000 0.0000 0.0000
Ba2 Ba 0.0000 0.5000 0.2500
Ge1 Ge 0.0000 0.0000 0.1966
Ge2 Ge 0.0000 0.0000 0.3092
Ge3 Ge 0.0000 0.2741 0.5000
Ge4 Ge 0.2438 0.2438 0.1296
Rh1 Rh 0.0000 0.5000 0.0889
```

No. 6
The following is a DFT calculation (PBE) of a relaxed structure of BaGeRh3.

Properties
Raw total energy: -19.79 eV per cell
Formation enthalpy at 0 K: 1.76 eV per atom
Energy relative to the lowest polymorph listed for this composition: 1851 meV/atom

```
data_BaGeRh3
_chemical_formula_sum 'Ba1 Ge1 Rh3'
_symmetry_space_group_name_H-M 'P m -3 m'
_symmetry_Int_Tables_number 221
_symmetry_space_group_name_Hall '-P 4 2 3'
_cell_length_a 5.0585
_cell_length_b 5.0585
_cell_length_c 5.0585
_cell_angle_alpha 90.00
_cell_angle_beta 90.00
_cell_angle_gamma 90.00
loop_
_atom_site_label
_atom_site_type_symbol
_atom_site_fract_x
_atom_site_fract_y
_atom_site_fract_z
Ba1 Ba 0.0000 0.0000 0.0000
Ge1 Ge 0.5000 0.5000 0.5000
Rh1 Rh 0.0000 0.0000 0.5000
```

No. 7
The following is a DFT calculation (PBE) of a relaxed structure of BaGe2Rh2.

Properties
Raw total energy: -59.19 eV per cell
Formation enthalpy at 0 K: -0.75 eV per atom

```
data_BaGe2Rh2
_chemical_formula_sum 'Ba2 Ge4 Rh4'
_symmetry_space_group_name_H-M 'I 4/m m m'
_symmetry_Int_Tables_number 139
_symmetry_space_group_name_Hall '-I 4 2'
_cell_length_a 4.2394
_cell_length_b 4.2394
_cell_length_c 12.0248
_cell_angle_alpha 90.00
_cell_angle_beta 90.00
_cell_angle_gamma 90.00
loop_
_atom_site_label
_atom_site_type_symbol
_atom_site_fract_x
_atom_site_fract_y
_atom_site_fract_z
Ba1 Ba 0.0000 0.0000 0.0000
Ge1 Ge 0.0000 0.0000 0.3543
Rh1 Rh 0.0000 0.5000 0.2500
```

No. 8
The following is a DFT calculation (PBE) of a relaxed structure of BaGe2RuRh.

Properties
Raw total energy: -61.77 eV per cell
Formation enthalpy at 0 K: -0.62 eV per atom

```
data_BaGe2RuRh
_chemical_formula_sum 'Ba2 Ge4 Ru2 Rh2'
_symmetry_space_group_name_H-M 'I -4 m 2'
_symmetry_Int_Tables_number 119
_symmetry_space_group_name_Hall 'I -4 -2'
_cell_length_a 4.3284
_cell_length_b 4.3284
_cell_length_c 11.4403
_cell_angle_alpha 90.00
_cell_angle_beta 90.00
_cell_angle_gamma 90.00
loop_
_atom_site_label
_atom_site_type_symbol
_atom_site_fract_x
_atom_site_fract_y
_atom_site_fract_z
Ba1 Ba 0.0000 0.0000 0.0000
Ge1 Ge 0.0000 0.0000 0.3517
Ru1 Ru 0.0000 0.5000 0.7500
Rh1 Rh 0.0000 0.5000 0.2500
```

No. 9
The following is a DFT calculation (PBE) of a relaxed structure of BaGeRu2Rh.

Properties
Raw total energy: -26.98 eV per cell
Formation enthalpy at 0 K: 1.09 eV per atom

```
data_BaGeRu2Rh
_chemical_formula_sum 'Ba1 Ge1 Ru2 Rh1'
_symmetry_space_group_name_H-M 'P 4/m m m'
_symmetry_Int_Tables_number 123
_symmetry_space_group_name_Hall '-P 4 2'
_cell_length_a 4.5905
_cell_length_b 4.5905
_cell_length_c 5.8688
_cell_angle_alpha 90.00
_cell_angle_beta 90.00
_cell_angle_gamma 90.00
loop_
_atom_site_label
_atom_site_type_symbol
_atom_site_fract_x
_atom_site_fract_y
_atom_site_fract_z
Ba1 Ba 0.0000 0.0000 0.0000
Ge1 Ge 0.0000 0.0000 0.5000
Ru1 Ru 0.0000 0.5000 0.5000
Rh1 Rh 0.5000 0.5000 0.0000
```

No. 10
The following is a DFT calculation (PBE) of a relaxed structure of BaGe2RhSe8.

Properties
Formation energy from raw total energies: -0.453 eV per atom
Raw total energy: -51.82 eV per cell

```
data_BaGe2RhSe8
_chemical_formula_sum 'Ba1 Ge2 Rh1 Se8'
_symmetry_space_group_name_H-M 'P -3'
_symmetry_Int_Tables_number 147
_cell_length_a 6.0875
_cell_length_b 6.0875
_cell_length_c 9.5126
_cell_angle_alpha 90.00
_cell_angle_beta 90.00
_cell_angle_gamma 120.00
loop_
_symmetry_equiv_pos_as_xyz
'x,y,z'
'-x,-y,-z'
'-y,x-y,z'
'y,-x+y,-z'
'-x+y,-x,z'
'x-y,x,-z'
loop_
_atom_site_label
_atom_site_type_symbol
_atom_site_fract_x
_atom_site_fract_y
_atom_site_fract_z
Ba1 Ba 0.0000 0.0000 0.0000
Ge1 Ge 0.3333 0.6667 0.7309
Rh1 Rh 0.0000 0.0000 0.5000
Se1 Se 0.0594 0.7199 0.3314
Se2 Se 0.3333 0.6667 0.9797
```

No. 11
The following is a DFT calculation (PBE) of a relaxed structure of Ba2GeRhSe.

Properties
Formation energy from raw total energies: -0.818 eV per atom
Raw total energy: -23.39 eV per cell

```
data_Ba2GeRhSe
_chemical_formula_sum 'Ba2 Ge1 Rh1 Se1'
_symmetry_space_group_name_H-M 'P 4/m m m'
_symmetry_Int_Tables_number 123
_symmetry_space_group_name_Hall '-P 4 2'
_cell_length_a 5.9968
_cell_length_b 5.9968
_cell_length_c 4.6586
_cell_angle_alpha 90.00
_cell_angle_beta 90.00
_cell_angle_gamma 90.00
loop_
_atom_site_label
_atom_site_type_symbol
_atom_site_fract_x
_atom_site_fract_y
_atom_site_fract_z
Ba1 Ba 0.0000 0.5000 0.0000
Ge1 Ge 0.0000 0.0000 0.5000
Rh1 Rh 0.0000 0.0000 0.0000
Se1 Se 0.5000 0.5000 0.5000
```

No. 12
The following is a DFT calculation (PBE) of a relaxed structure of BaSiGe2Rh.

Properties
Formation energy from raw total energies: 1.780 eV per atom
Raw total energy: -15.03 eV per cell

```
data_BaSiGe2Rh
_chemical_formula_sum 'Ba1 Si1 Ge2 Rh1'
_symmetry_space_group_name_H-M 'P 4/m m m'
_symmetry_Int_Tables_number 123
_symmetry_space_group_name_Hall '-P 4 2'
_cell_length_a 5.7587
_cell_length_b 5.7587
_cell_length_c 5.0587
_cell_angle_alpha 90.00
_cell_angle_beta 90.00
_cell_angle_gamma 90.00
loop_
_atom_site_label
_atom_site_type_symbol
_atom_site_fract_x
_atom_site_fract_y
_atom_site_fract_z
Ba1 Ba 0.0000 0.0000 0.0000
Si1 Si 0.5000 0.5000 0.5000
Ge1 Ge 0.0000 0.5000 0.0000
Rh1 Rh 0.0000 0.0000 0.5000
```